A relaxed Ac2Pd6Pt crystal. Source: Alexandria via LeMat-Bulk, functional PBE.

Computed properties:
Space group = C2/m, No. 12
E_form = -0.6741 eV per atom
Raw total energy = -51.5 eV for the cell shown
ρ = 11.57 Mg/m³

Cell: 5.753 5.753 6.655 Å, 102.36 102.36 59.96°
Fractional positions:
1 Ac 0.142 0.142 0.340
2 Ac 0.858 0.858 0.660
3 Pd 0.103 0.619 0.173
4 Pd 0.381 0.897 0.827
5 Pd 0.386 0.386 0.827
6 Pd 0.614 0.614 0.173
7 Pd 0.619 0.103 0.173
8 Pd 0.897 0.381 0.827
9 Pt 0.500 0.500 0.500

A relaxed RbNaLaI5 crystal. Source: Alexandria via LeMat-Bulk, functional PBE.

Computed properties:
E_form (uncorrected) = -1.426 eV per atom
Space group = C2/c, No. 15
Raw total energy = -52.7 eV for the cell shown
ρ = 3.47 Mg/m³

Cell: 8.987 8.987 12.046 Å, 102.55 102.55 110.28°
Fractional positions:
1 Rb 0.153 0.847 0.750
2 Rb 0.847 0.153 0.250
3 Na 0.188 0.812 0.250
4 Na 0.812 0.188 0.750
5 La 0.500 0.500 0.000
6 La 0.500 0.500 0.500
7 I 0.129 0.237 0.942
8 I 0.191 0.583 0.402
9 I 0.237 0.129 0.442
10 I 0.417 0.809 0.098
11 I 0.421 0.579 0.750
12 I 0.579 0.421 0.250
13 I 0.583 0.191 0.902
14 I 0.763 0.871 0.558
15 I 0.809 0.417 0.598
16 I 0.871 0.763 0.058

A relaxed K2FeMo crystal. Source: Alexandria via LeMat-Bulk, functional PBE.

Computed properties:
Space group = Fm-3m, No. 225
Energy relative to the lowest polymorph listed for this composition = 1037.0 meV/atom
E_form = 1.8907 eV per atom
Raw total energy = -13.9 eV for the cell shown
ρ = 2.72 Mg/m³

Cell: 5.836 5.836 5.836 Å, 60.00 60.00 60.00°
Fractional positions:
1 K 0.250 0.250 0.250
2 K 0.750 0.750 0.750
3 Fe 0.000 0.000 0.000
4 Mo 0.500 0.500 0.500

A relaxed KMgB2H8 crystal. Source: Alexandria via LeMat-Bulk, functional PBE.

Computed properties:
Space group = R-3, No. 148
Raw total energy = -44.7 eV for the cell shown
ρ = 1.18 Mg/m³

Cell: 7.489 7.489 7.489 Å, 36.22 36.22 36.22°
Fractional positions:
1 K 0.000 0.000 0.000
2 Mg 0.500 0.500 0.500
3 B 0.243 0.243 0.243
4 B 0.757 0.757 0.757
5 H 0.074 0.084 0.512
6 H 0.084 0.512 0.074
7 H 0.302 0.302 0.302
8 H 0.488 0.926 0.916
9 H 0.512 0.074 0.084
10 H 0.698 0.698 0.698
11 H 0.916 0.488 0.926
12 H 0.926 0.916 0.488

A relaxed Sr2InP3Pd4 crystal. Source: Alexandria via LeMat-Bulk, functional PBE.

Computed properties:
Space group = P-4m2, No. 115
E_form = -0.7179 eV per atom
Raw total energy = -50.3 eV for the cell shown
ρ = 6.88 Mg/m³

Cell: 4.296 4.296 10.583 Å, 90.00 90.00 90.00°
Fractional positions:
1 Sr 0.000 0.500 0.237
2 Sr 0.500 0.000 0.763
3 In 0.000 0.000 0.500
4 P 0.000 0.500 0.877
5 P 0.500 0.000 0.123
6 P 0.500 0.500 0.500
7 Pd 0.000 0.000 0.000
8 Pd 0.000 0.500 0.652
9 Pd 0.500 0.000 0.348
10 Pd 0.500 0.500 0.000

A relaxed PuPa2Mo crystal. Source: Alexandria via LeMat-Bulk, functional PBE.

Computed properties:
Space group = R-3m, No. 166
Energy relative to the lowest polymorph listed for this composition = 303.8 meV/atom
E_form = 0.3918 eV per atom
Raw total energy = -42.6 eV for the cell shown
ρ = 14.59 Mg/m³

Cell: 10.468 10.468 10.468 Å, 17.57 17.57 17.57°
Fractional positions:
1 Pu 0.000 0.000 0.000
2 Pa 0.093 0.093 0.093
3 Pa 0.907 0.907 0.907
4 Mo 0.500 0.500 0.500

| no. | calculated volume (Å³/cell) | total magnetic moment (Bohr magnetons per cell) |
| --- | --- | --- |
| 1 | 185 | 0.00 |
| 2 | 844 | 0.00 |
| 3 | 141 | 1.84 |
| 4 | 131 | 0.98 |
| 5 | 195 | 0.00 |
| 6 | 91 | 5.10 |